Computed, not measured: a relaxed structure of MnBe2Ir2 at the PBE-GGA level of DFT. Values from VASP.

Summary:
* DFT formation energy: -5.1 kcal/mol of atoms
* excess energy over the best structure of this formula in the dataset: 46 meV/atom
* VASP energy: -70.9 eV for the cell shown

```
&SYSTEM
  ibrav = 0, nat = 10, ntyp = 3
/
ATOMIC_SPECIES
Mn 54.94 Mn.upf
Be 9.01 Be.upf
Ir 192.22 Ir.upf
ATOMIC_POSITIONS crystal
Mn 0.000 0.000 0.000
Mn 0.500 0.500 0.000
Be 0.150 0.350 0.500
Be 0.350 0.850 0.500
Be 0.650 0.150 0.500
Be 0.850 0.650 0.500
Ir 0.146 0.646 0.000
Ir 0.354 0.146 0.000
Ir 0.646 0.854 0.000
Ir 0.854 0.354 0.000
CELL_PARAMETERS angstrom
6.595 0.000 0.000
0.000 6.595 0.000
0.000 0.000 2.835
```